No. 1
A plane-wave DFT calculation with PBE was carried out for a geometry-optimized Si2Sb5Pd12 structure.

Its formation energy (no corrections) is -387 meV/atom. As for the spin magnetization: 0.00 Bohr magnetons per cell. As for the density of states at the Fermi level: 5.410 states/eV/f.u. The value obtained for the total energy is -0.3912 Ry/atom.

The structure belongs to space group C2/m (No. 12); the cell edges are 13.901, 6.967 and 7.200 Å and the angles 90.00°, 103.13° and 90.00°. The distinct sites, in fractional coordinates, are Si at (0.000, 0.204, 0.000), Sb at (0.000, 0.500, 0.500), Sb at (0.222, 0.000, 0.957), Sb at (0.238, 0.000, 0.438), Pd at (0.021, 0.000, 0.278), Pd at (0.066, 0.500, 0.875), Pd at (0.131, 0.217, 0.636) and Pd at (0.152, 0.295, 0.216).

=====

No. 2
A plane-wave DFT calculation with PBE was carried out for a geometry-optimized Si2SbPd structure.

Its formation energy (no corrections) is 80 meV/atom. As for the spin magnetization: 0.00 Bohr magnetons per cell. As for the density of states at the Fermi level: 1.980 states/eV/f.u. The value obtained for the total energy is -0.3646 Ry/atom.

The structure belongs to space group I-42d (No. 122); the cell edges are 5.645, 5.645 and 11.996 Å and the angles 90.00°, 90.00° and 90.00°. The distinct sites, in fractional coordinates, are Si at (0.200, 0.250, 0.125), Sb at (0.000, 0.000, 0.500) and Pd at (0.000, 0.000, 0.000).

=====

No. 3
A plane-wave DFT calculation with PBE was carried out for a geometry-optimized SiSnSb2Pd structure.

Its formation energy (no corrections) is 564 meV/atom. As for the spin magnetization: 0.00 Bohr magnetons per cell. As for the density of states at the Fermi level: 3.798 states/eV/f.u. The value obtained for the total energy is -0.2946 Ry/atom.

The structure belongs to space group P4/mmm (No. 123); the cell edges are 5.241, 5.241 and 5.126 Å and the angles 90.00°, 90.00° and 90.00°. The distinct sites, in fractional coordinates, are Si at (0.000, 0.000, 0.000), Sn at (0.500, 0.500, 0.000), Sb at (0.000, 0.500, 0.500) and Pd at (0.500, 0.500, 0.500).

=====

No. 4
A plane-wave DFT calculation with PBE was carried out for a geometry-optimized SiSnSbPd2 structure.

Its formation energy (no corrections) is 791 meV/atom. As for the spin magnetization: 0.00 Bohr magnetons per cell. As for the density of states at the Fermi level: 5.723 states/eV/f.u. The value obtained for the total energy is -0.2936 Ry/atom.

The structure belongs to space group P4/mmm (No. 123); the cell edges are 4.943, 4.943 and 5.652 Å and the angles 90.00°, 90.00° and 90.00°. The distinct sites, in fractional coordinates, are Si at (0.000, 0.000, 0.000), Sn at (0.500, 0.500, 0.000), Sb at (0.500, 0.500, 0.500) and Pd at (0.000, 0.500, 0.500).

=====

Which formula does entry 4 have?
SiSnSbPd2

=====

What is the formation energy (no corrections) in the fourth record?
791 meV/atom

=====

Number 3 is which compound?
SiSnSb2Pd